A:
This record from the Alexandria database describes an optimized crystal structure of KRu2W. The functional is PBE.

Unit cell a=2.743 b=2.743 c=10.496 alpha=90.00 beta=90.00 gamma=115.56
Element x y z (fractional)
K1 0.000 0.000 0.000
Ru1 0.000 0.000 0.514
Ru2 0.500 0.500 0.726
W1 0.500 0.500 0.304

Computed properties:
Fermi-level density of states   5.82 states/eV/f.u.

=====

B:
This record from the Alexandria database describes an optimized crystal structure of KRu2W. The functional is PBE.

Unit cell a=4.558 b=4.558 c=4.558 alpha=60.00 beta=60.00 gamma=60.00
Element x y z (fractional)
K1 0.000 0.000 0.000
Ru1 0.250 0.250 0.250
Ru2 0.750 0.750 0.750
W1 0.500 0.500 0.500

Computed properties:
Fermi-level density of states   3.29 states/eV/f.u.

=====

Energy relative to the most stable one, in meV/atom: A 0; B 262

=====

A:
This record from the Alexandria database describes an optimized crystal structure of CaNd3. The functional is PBE.

Unit cell a=3.719 b=5.985 c=6.529 alpha=90.00 beta=90.00 gamma=90.00
Element x y z (fractional)
Ca1 0.000 0.000 0.000
Nd1 0.000 0.500 0.667
Nd2 0.500 0.000 0.503
Nd3 0.500 0.500 0.184

Computed properties:
Fermi-level density of states   5.88 states/eV/f.u.

=====

B:
This record from the Alexandria database describes an optimized crystal structure of CaNd3. The functional is PBE.

Unit cell a=7.500 b=7.500 c=5.999 alpha=90.00 beta=90.00 gamma=120.00
Element x y z (fractional)
Ca1 0.333 0.667 0.250
Ca2 0.667 0.333 0.750
Nd1 0.164 0.329 0.750
Nd2 0.164 0.836 0.750
Nd3 0.329 0.164 0.250
Nd4 0.671 0.836 0.750
Nd5 0.836 0.164 0.250
Nd6 0.836 0.671 0.250

Computed properties:
Fermi-level density of states   7.35 states/eV/f.u.

=====

Energy relative to the most stable one, in meV/atom: A 0; B 24

=====

A:
This record from the Alexandria database describes an optimized crystal structure of LiTa2Co2. The functional is PBE.

Unit cell a=7.116 b=7.116 c=2.903 alpha=90.00 beta=90.00 gamma=90.00
Element x y z (fractional)
Li1 0.000 0.000 0.000
Li2 0.500 0.500 0.000
Ta1 0.163 0.337 0.500
Ta2 0.337 0.837 0.500
Ta3 0.663 0.163 0.500
Ta4 0.837 0.663 0.500
Co1 0.134 0.634 0.000
Co2 0.366 0.134 0.000
Co3 0.634 0.866 0.000
Co4 0.866 0.366 0.000

Computed properties:
Fermi-level density of states   2.53 states/eV/f.u.

=====

B:
This record from the Alexandria database describes an optimized crystal structure of LiTa2Co2. The functional is PBE.

Unit cell a=7.364 b=7.364 c=2.768 alpha=90.00 beta=90.00 gamma=90.00
Element x y z (fractional)
Li1 0.000 0.000 0.000
Li2 0.500 0.500 0.000
Ta1 0.155 0.345 0.000
Ta2 0.345 0.845 0.000
Ta3 0.655 0.155 0.000
Ta4 0.845 0.655 0.000
Co1 0.139 0.639 0.500
Co2 0.361 0.139 0.500
Co3 0.639 0.861 0.500
Co4 0.861 0.361 0.500

Computed properties:
Fermi-level density of states   3.85 states/eV/f.u.

=====

Energy relative to the most stable one, in meV/atom: A 0; B 101

=====

A:
This record from the Alexandria database describes an optimized crystal structure of B4C. The functional is PBE.

Unit cell a=5.965 b=5.965 c=5.965 alpha=154.42 beta=55.38 gamma=131.77
Element x y z (fractional)
B1 0.000 0.000 0.000
B2 0.159 0.981 0.178
B3 0.194 0.301 0.893
B4 0.408 0.301 0.107
B5 0.542 0.243 0.299
B6 0.748 0.248 0.500
B7 0.803 0.981 0.822
B8 0.943 0.243 0.701
C1 0.377 0.983 0.394
C2 0.589 0.983 0.606

Computed properties:
Fermi-level density of states   0.53 states/eV/f.u.

=====

B:
This record from the Alexandria database describes an optimized crystal structure of B4C. The functional is PBE.

Unit cell a=3.254 b=4.709 c=5.053 alpha=92.81 beta=104.48 gamma=91.50
Element x y z (fractional)
B1 0.057 0.088 0.362
B2 0.223 0.575 0.177
B3 0.268 0.940 0.082
B4 0.353 0.625 0.893
B5 0.647 0.375 0.107
B6 0.732 0.060 0.918
B7 0.777 0.425 0.823
B8 0.943 0.912 0.638
C1 0.035 0.423 0.379
C2 0.965 0.577 0.621

Computed properties:
Fermi-level density of states   0.42 states/eV/f.u.

=====

Energy relative to the most stable one, in meV/atom: A 0; B 51

=====

A:
This record from the Alexandria database describes an optimized crystal structure of BaCoOs2. The functional is PBE.

Unit cell a=5.643 b=5.643 c=2.910 alpha=90.00 beta=90.00 gamma=125.42
Element x y z (fractional)
Ba1 0.000 0.000 0.000
Co1 0.500 0.500 0.000
Os1 0.000 0.500 0.500
Os2 0.500 0.000 0.500

Computed properties:
Fermi-level density of states   5.28 states/eV/f.u.

=====

B:
This record from the Alexandria database describes an optimized crystal structure of BaCoOs2. The functional is PBE.

Unit cell a=2.929 b=4.036 c=7.043 alpha=90.00 beta=101.91 gamma=90.00
Element x y z (fractional)
Ba1 0.000 0.000 0.000
Co1 0.657 0.500 0.314
Os1 0.311 0.500 0.624
Os2 0.751 0.000 0.504

Computed properties:
Fermi-level density of states   5.43 states/eV/f.u.

=====

Energy relative to the most stable one, in meV/atom: A 766; B 0